Entry 1:
VASP calculation (PBE) on NaAsPd2 after structural relaxation.

Summary:
Fermi-level density of states = 2.3 states/eV/cell

Lattice parameters (Å, degrees): 4.3533 4.3533 5.6249 67.23 67.23 60.00
Atoms (fractional coordinates):
Na (0.0000, 0.0000, 0.0000)
As (0.5000, 0.5000, 0.5000)
Pd (0.8000, 0.8000, 0.5999)
Pd (0.2000, 0.2000, 0.4001)

Entry 2:
VASP calculation (PBE) on Na3AsPd after structural relaxation.

Summary:
Fermi-level density of states = 2.6 states/eV/cell
polymorph energy (0 for the lowest one) = 141 meV/atom

Lattice parameters (Å, degrees): 6.8424 6.8424 7.6509 106.68 134.42 84.06
Atoms (fractional coordinates):
Na (0.8349, 0.9430, 0.2213)
Na (0.2783, 0.3864, 0.2213)
Na (0.7217, 0.6136, 0.7787)
Na (0.7991, 0.3934, 0.1925)
Na (0.1651, 0.0570, 0.7787)
Na (0.2009, 0.6066, 0.8075)
As (0.6421, 0.7538, 0.3959)
As (0.3579, 0.2462, 0.6041)
Pd (0.7366, 0.0330, 0.7696)
Pd (0.2634, 0.9670, 0.2304)

Entry 3:
VASP calculation (PBE) on Na2As3Pd2 after structural relaxation.

Summary:
Fermi-level density of states = 3.3 states/eV/cell

Lattice parameters (Å, degrees): 4.2951 5.5872 7.0195 115.61 90.00 112.60
Atoms (fractional coordinates):
Na (0.8308, 0.6617, 0.2110)
Na (0.1692, 0.3383, 0.7890)
As (0.5000, 0.0000, 0.0000)
As (0.6101, 0.2202, 0.4512)
As (0.3899, 0.7798, 0.5488)
Pd (0.8866, 0.7733, 0.7676)
Pd (0.1134, 0.2267, 0.2324)

Record order is preserved below.
Magnetic moment: 0.00, 0.00, 0.00 μB per formula unit
Record order is preserved below.
Formation energy from the elements: -1.3, -1.2, -2.4 eV/f.u.